[1]
OsSe2IN | PBE | relaxed

The structure in POSCAR format:
```
OsSe2IN
1.0
5.425 0.000 0.000
0.000 5.425 0.000
0.000 0.000 3.848
Os Se I N
1 2 1 1
Cartesian
0.000 0.000 0.000 Os
0.000 2.712 1.924 Se
2.712 0.000 1.924 Se
2.712 2.712 1.924 I
2.712 2.712 0.000 N
```

Density of states at the Fermi level = 1.332 states/eV per atom
Excess energy over the best structure of this formula in the dataset = 1720 meV per atom
VASP energy = -16.95 eV for the cell shown

***

[2]
BeVNiIr | PBE | relaxed

The structure in POSCAR format:
```
BeVNiIr
1.0
0.000 2.878 2.878
2.878 0.000 2.878
2.878 2.878 0.000
Be V Ni Ir
1 1 1 1
Cartesian
0.000 0.000 0.000 Be
2.878 2.878 2.878 V
1.439 1.439 1.439 Ni
4.317 4.317 4.317 Ir
```

Density of states at the Fermi level = 0.999 states/eV per atom
Formation enthalpy at 0 K = -36 kJ per mole of atoms
VASP energy = -28.99 eV for the cell shown